(1)
Here is crystalline NbGaCoTc at its relaxed geometry from Alexandria via LeMat-Bulk. Energies are from GGA-PBE.

Properties
The crystal system is cubic. For the energy relative to the elements, the calculation gives -267 meV per atom.

Cell and atoms, written as CIF:
```
data_NbGaCoTc
_chemical_formula_sum 'Nb4 Ga4 Co4 Tc4'
_symmetry_space_group_name_H-M 'F -4 3 m'
_symmetry_Int_Tables_number 216
_symmetry_space_group_name_Hall 'F -4 2 3'
_cell_length_a 6.124
_cell_length_b 6.124
_cell_length_c 6.124
_cell_angle_alpha 90.00
_cell_angle_beta 90.00
_cell_angle_gamma 90.00
loop_
_atom_site_label
_atom_site_type_symbol
_atom_site_fract_x
_atom_site_fract_y
_atom_site_fract_z
Nb1 Nb 0.000 0.000 0.000
Ga1 Ga 0.000 0.000 0.500
Co1 Co 0.250 0.250 0.250
Tc1 Tc 0.250 0.250 0.750
```

=====

(2)
Here is crystalline ThNbGa2Co5 at its relaxed geometry from Alexandria via LeMat-Bulk. Energies are from GGA-PBE.

Properties
The crystal system is tetragonal. For the energy relative to the elements, the calculation gives 118 meV per atom.

Cell and atoms, written as CIF:
```
data_ThNbGa2Co5
_chemical_formula_sum 'Th1 Nb1 Ga2 Co5'
_symmetry_space_group_name_H-M 'P 4/m m m'
_symmetry_Int_Tables_number 123
_symmetry_space_group_name_Hall '-P 4 2'
_cell_length_a 4.376
_cell_length_b 4.376
_cell_length_c 7.110
_cell_angle_alpha 90.00
_cell_angle_beta 90.00
_cell_angle_gamma 90.00
loop_
_atom_site_label
_atom_site_type_symbol
_atom_site_fract_x
_atom_site_fract_y
_atom_site_fract_z
Th1 Th 0.000 0.000 0.000
Nb1 Nb 0.000 0.000 0.500
Ga1 Ga 0.500 0.500 0.333
Co1 Co 0.000 0.500 0.274
Co2 Co 0.500 0.500 0.000
```

=====

(3)
Here is crystalline TiNbGaCo at its relaxed geometry from Alexandria via LeMat-Bulk. Energies are from GGA-PBE.

Properties
The crystal system is cubic. For the energy relative to the elements, the calculation gives -191 meV per atom.

Cell and atoms, written as CIF:
```
data_TiNbGaCo
_chemical_formula_sum 'Ti4 Nb4 Ga4 Co4'
_symmetry_space_group_name_H-M 'F -4 3 m'
_symmetry_Int_Tables_number 216
_symmetry_space_group_name_Hall 'F -4 2 3'
_cell_length_a 6.248
_cell_length_b 6.248
_cell_length_c 6.248
_cell_angle_alpha 90.00
_cell_angle_beta 90.00
_cell_angle_gamma 90.00
loop_
_atom_site_label
_atom_site_type_symbol
_atom_site_fract_x
_atom_site_fract_y
_atom_site_fract_z
Ti1 Ti 0.000 0.000 0.000
Nb1 Nb 0.000 0.000 0.500
Ga1 Ga 0.250 0.250 0.750
Co1 Co 0.250 0.250 0.250
```

=====

(4)
Here is crystalline Nb2VGa2Co5 at its relaxed geometry from Alexandria via LeMat-Bulk. Energies are from GGA-PBE.

Properties
The crystal system is tetragonal. For the energy relative to the elements, the calculation gives -81 meV per atom.

Cell and atoms, written as CIF:
```
data_Nb2VGa2Co5
_chemical_formula_sum 'Nb4 V2 Ga4 Co10'
_symmetry_space_group_name_H-M 'P 4/m b m'
_symmetry_Int_Tables_number 127
_symmetry_space_group_name_Hall '-P 4 2ab'
_cell_length_a 9.595
_cell_length_b 9.595
_cell_length_c 2.877
_cell_angle_alpha 90.00
_cell_angle_beta 90.00
_cell_angle_gamma 90.00
loop_
_atom_site_label
_atom_site_type_symbol
_atom_site_fract_x
_atom_site_fract_y
_atom_site_fract_z
Nb1 Nb 0.173 0.327 0.000
V1 V 0.000 0.000 0.000
Ga1 Ga 0.134 0.634 0.000
Co1 Co 0.000 0.500 0.500
Co2 Co 0.034 0.806 0.500
```

=====

no.,N(E_F) (states/eV/atom)
1,0.10
2,0.83
3,0.97
4,1.03